Entry 1:
## KZr2Rh (GGA-PBEsol)

Data for an optimized crystal structure of KZr2Rh.

a = 9.3894 Å, b = 3.2085 Å, c = 8.0626 Å
α = 90.00°, β = 109.10°, γ = 90.00°
Space group Cm (No. 8)
Symmetry-distinct sites (fractional):
K 0.0000 0.0000 0.0000
Zr 0.1210 0.5000 0.6029
Zr 0.3493 0.5000 0.3645
Rh 0.3470 0.0000 0.6132

Computed properties:
calculated formation energy = 0.32 eV per atom
relative energy among the computed polymorphs = 0.1613 eV per atom

---

Entry 2:
## BaAlRu2 (GGA-PBEsol)

Data for an optimized crystal structure of BaAlRu2.

a = 3.2240 Å, b = 4.3075 Å, c = 5.3559 Å
α = 90.00°, β = 90.00°, γ = 90.00°
Space group Pmmm (No. 47)
Symmetry-distinct sites (fractional):
Ba 0.0000 0.0000 0.0000
Al 0.5000 0.0000 0.5000
Ru 0.0000 0.5000 0.5000
Ru 0.5000 0.5000 0.0000

Computed properties:
calculated formation energy = 0.83 eV per atom

---

Entry 3:
## Li2YAl (GGA-PBEsol)

Data for an optimized crystal structure of Li2YAl.

a = 4.2707 Å, b = 4.2707 Å, c = 4.7981 Å
α = 90.00°, β = 90.00°, γ = 90.00°
Space group P4/mmm (No. 123)
Symmetry-distinct sites (fractional):
Li 0.0000 0.5000 0.0000
Y 0.0000 0.0000 0.5000
Al 0.5000 0.5000 0.5000

Computed properties:
calculated formation energy = 0.00 eV per atom

---

Entry 4:
## AgI (GGA-PBEsol)

Data for an optimized crystal structure of AgI.

a = 4.5495 Å, b = 4.5495 Å, c = 7.4418 Å
α = 90.00°, β = 90.00°, γ = 120.00°
Space group P6_3mc (No. 186)
Symmetry-distinct sites (fractional):
Ag 0.3333 0.6667 0.0000
I 0.3333 0.6667 0.3748

Computed properties:
E_form (uncorrected) = -0.19 eV/atom

---

Entry 5:
## CaFe2Ir (GGA-PBEsol)

Data for an optimized crystal structure of CaFe2Ir.

a = 2.8861 Å, b = 4.6259 Å, c = 9.4087 Å
α = 90.00°, β = 90.00°, γ = 90.00°
Space group Immm (No. 71)
Symmetry-distinct sites (fractional):
Ca 0.0000 0.0000 0.0000
Fe 0.0000 0.5000 0.2229
Ir 0.0000 0.0000 0.5000

Computed properties:
calculated formation energy = 0.36 eV per atom

---

Entry 6:
## KCaAg2F (GGA-PBEsol)

Data for an optimized crystal structure of KCaAg2F.

a = 5.3145 Å, b = 5.3145 Å, c = 7.0883 Å
α = 90.00°, β = 90.00°, γ = 90.00°
Space group P4/mmm (No. 123)
Symmetry-distinct sites (fractional):
K 0.0000 0.0000 0.0000
Ca 0.0000 0.0000 0.5000
Ag 0.0000 0.5000 0.0000
F 0.5000 0.5000 0.5000

Computed properties:
E_form (uncorrected) = 0.61 eV/atom

---

Entry 7:
## K3PrP2O8 (GGA-PBEsol)

Data for an optimized crystal structure of K3PrP2O8.

a = 7.4436 Å, b = 5.6448 Å, c = 9.5531 Å
α = 90.00°, β = 90.84°, γ = 90.00°
Space group P2_1/m (No. 11)
Symmetry-distinct sites (fractional):
K 0.0081 0.2500 0.1899
K 0.1393 0.7500 0.4055
K 0.3003 0.2500 0.9166
Pr 0.4929 0.7500 0.7070
P 0.2635 0.7500 0.0848
P 0.3021 0.2500 0.5743
O 0.0586 0.7500 0.0994
O 0.2163 0.2500 0.4246
O 0.2437 0.0253 0.6553
O 0.3197 0.7500 0.9286
O 0.3437 0.5261 0.1579
O 0.4909 0.7500 0.4441

Computed properties:
E_form (uncorrected) = -2.60 eV/atom

---

Entry 8:
## Te2IrRh (GGA-PBEsol)

Data for an optimized crystal structure of Te2IrRh.

a = 6.6254 Å, b = 6.6254 Å, c = 6.6254 Å
α = 90.00°, β = 90.00°, γ = 90.00°
Space group Fm-3m (No. 225)
Symmetry-distinct sites (fractional):
Te 0.2500 0.2500 0.2500
Ir 0.0000 0.0000 0.0000
Rh 0.0000 0.0000 0.5000

Computed properties:
E_form (uncorrected) = 0.24 eV/atom
relative energy among the computed polymorphs = 0.1149 eV per atom

---

Entry 9:
## As2RhSeBr (GGA-PBEsol)

Data for an optimized crystal structure of As2RhSeBr.

a = 4.9171 Å, b = 4.9171 Å, c = 4.8460 Å
α = 90.00°, β = 90.00°, γ = 90.00°
Space group P4/mmm (No. 123)
Symmetry-distinct sites (fractional):
As 0.0000 0.5000 0.0000
Rh 0.0000 0.0000 0.5000
Se 0.5000 0.5000 0.5000
Br 0.5000 0.5000 0.0000

Computed properties:
E_form (uncorrected) = 1.57 eV/atom

---

Entry 10:
## TbZn12 (GGA-PBEsol)

Data for an optimized crystal structure of TbZn12.

a = 8.7495 Å, b = 8.7495 Å, c = 5.0341 Å
α = 90.00°, β = 90.00°, γ = 90.00°
Space group I4/mmm (No. 139)
Symmetry-distinct sites (fractional):
Tb 0.0000 0.0000 0.0000
Zn 0.0000 0.2164 0.5000
Zn 0.0000 0.3542 0.0000
Zn 0.2500 0.2500 0.2500

Computed properties:
calculated formation energy = -0.20 eV per atom

---

Entry 11:
## NaSrCa2B (GGA-PBEsol)

Data for an optimized crystal structure of NaSrCa2B.

a = 5.7447 Å, b = 5.7447 Å, c = 6.0964 Å
α = 90.00°, β = 90.00°, γ = 90.00°
Space group P4/mmm (No. 123)
Symmetry-distinct sites (fractional):
Na 0.0000 0.0000 0.0000
Sr 0.0000 0.0000 0.5000
Ca 0.0000 0.5000 0.0000
B 0.5000 0.5000 0.5000

Computed properties:
calculated formation energy = 1.41 eV per atom

---

Entry 12:
## Ba2AlTe (GGA-PBEsol)

Data for an optimized crystal structure of Ba2AlTe.

a = 3.9397 Å, b = 3.9397 Å, c = 9.5278 Å
α = 90.00°, β = 90.00°, γ = 90.00°
Space group P4mm (No. 99)
Symmetry-distinct sites (fractional):
Ba 0.0000 0.0000 0.0000
Ba 0.5000 0.5000 0.3952
Al 0.0000 0.0000 0.6291
Te 0.5000 0.5000 0.7655

Computed properties:
E_form (uncorrected) = -0.40 eV/atom
relative energy among the computed polymorphs = 0.3118 eV per atom

---

Entry 13:
## K6Sb2H18S8O9 (GGA-PBEsol)

Data for an optimized crystal structure of K6Sb2H18S8O9.

a = 12.8965 Å, b = 7.6808 Å, c = 13.4337 Å
α = 90.00°, β = 92.46°, γ = 90.00°
Space group Pc (No. 7)
Symmetry-distinct sites (fractional):
K 0.0000 0.0861 0.0000
K 0.0065 0.4061 0.6471
K 0.3221 0.3216 0.1132
K 0.4357 0.1974 0.7061
K 0.5740 0.3078 0.9181
K 0.6883 0.1801 0.5088
Sb 0.2644 0.2472 0.4488
Sb 0.7457 0.2567 0.1768
H 0.0263 0.3372 0.4316
H 0.1037 0.2150 0.2264
H 0.1068 0.0826 0.8015
H 0.2020 0.4375 0.7755
H 0.2139 0.3071 0.6817
H 0.3060 0.3338 0.9044
H 0.3254 0.1357 0.8840
H 0.4506 0.4179 0.3260
H 0.4971 0.1122 0.3942
H 0.5140 0.3833 0.2296
H 0.5601 0.0776 0.2974
H 0.6862 0.3658 0.7409
H 0.7025 0.1675 0.7195
H 0.7969 0.1942 0.9428
H 0.8075 0.0640 0.8488
H 0.9084 0.2981 0.4076
H 0.9842 0.1788 0.2058
H 0.9861 0.0781 0.7766
S 0.1657 0.4967 0.9315
S 0.2150 0.0792 0.5848
S 0.2484 0.0828 0.3002
S 0.4383 0.3321 0.4800
S 0.5740 0.1640 0.1432
S 0.7660 0.4202 0.3232
S 0.7990 0.4193 0.0405
S 0.8432 0.0052 0.6909
O 0.0425 0.1544 0.8040
O 0.0423 0.2527 0.1846
O 0.2158 0.4314 0.7032
O 0.3620 0.2443 0.9061
O 0.4678 0.4700 0.2606
O 0.5434 0.0256 0.3629
O 0.6479 0.2590 0.7180
O 0.7974 0.0696 0.9217
O 0.9687 0.2587 0.4502

---

Entry 14:
## La2TePt2 (GGA-PBEsol)

Data for an optimized crystal structure of La2TePt2.

a = 7.8842 Å, b = 7.8842 Å, c = 3.8810 Å
α = 90.00°, β = 90.00°, γ = 90.00°
Space group P4/mbm (No. 127)
Symmetry-distinct sites (fractional):
La 0.1769 0.3231 0.0000
Te 0.0000 0.0000 0.5000
Pt 0.1233 0.6233 0.5000

Computed properties:
E_form (uncorrected) = -1.20 eV/atom
relative energy among the computed polymorphs = 0.0000 eV per atom

---

Entry 15:
## BaTa2Ir (GGA-PBEsol)

Data for an optimized crystal structure of BaTa2Ir.

a = 2.9472 Å, b = 5.3569 Å, c = 11.0459 Å
α = 90.00°, β = 90.00°, γ = 90.00°
Space group Immm (No. 71)
Symmetry-distinct sites (fractional):
Ba 0.0000 0.0000 0.0000
Ta 0.0000 0.5000 0.2034
Ir 0.0000 0.0000 0.5000

Computed properties:
calculated formation energy = 0.53 eV per atom
relative energy among the computed polymorphs = 0.3054 eV per atom

---

Entry 16:
## TaRe2Mo (GGA-PBEsol)

Data for an optimized crystal structure of TaRe2Mo.

a = 2.7681 Å, b = 2.7681 Å, c = 8.2192 Å
α = 90.00°, β = 90.00°, γ = 90.00°
Space group P4mm (No. 99)
Symmetry-distinct sites (fractional):
Ta 0.0000 0.0000 0.0000
Re 0.0000 0.0000 0.5205
Re 0.5000 0.5000 0.7393
Mo 0.5000 0.5000 0.2762

Computed properties:
calculated formation energy = 0.11 eV per atom
relative energy among the computed polymorphs = 0.2451 eV per atom

---

Entry 17:
## BaSnHgS4 (GGA-PBEsol)

Data for an optimized crystal structure of BaSnHgS4.

a = 10.8426 Å, b = 10.7583 Å, c = 6.6059 Å
α = 90.00°, β = 90.00°, γ = 90.00°
Space group Ama2 (No. 40)
Symmetry-distinct sites (fractional):
Ba 0.0000 0.0000 0.0000
Sn 0.2500 0.2131 0.5135
Hg 0.2500 0.3304 0.0531
S 0.0787 0.2353 0.2820
S 0.2500 0.0528 0.7574
S 0.2500 0.4067 0.7067

Computed properties:
E_form (uncorrected) = -0.87 eV/atom

---

Entry 18:
## Y2Rh2N (GGA-PBEsol)

Data for an optimized crystal structure of Y2Rh2N.

a = 5.3870 Å, b = 5.3870 Å, c = 6.5430 Å
α = 90.00°, β = 90.00°, γ = 90.00°
Space group I4/mmm (No. 139)
Symmetry-distinct sites (fractional):
Y 0.0000 0.5000 0.2500
Rh 0.0000 0.0000 0.2064
N 0.0000 0.0000 0.5000

Computed properties:
E_form (uncorrected) = -0.09 eV/atom

---

Entry 19:
## LaTe2Os (GGA-PBEsol)

Data for an optimized crystal structure of LaTe2Os.

a = 3.2941 Å, b = 3.2941 Å, c = 30.6311 Å
α = 90.00°, β = 90.00°, γ = 120.00°
Space group R-3m (No. 166, hexagonal axes)
Symmetry-distinct sites (fractional):
La 0.0000 0.0000 0.0000
Te 0.0000 0.0000 0.4183
Os 0.0000 0.0000 0.5000

Computed properties:
E_form (uncorrected) = 0.39 eV/atom
relative energy among the computed polymorphs = 0.7401 eV per atom

---

Entry 20:
## Re4SbW (GGA-PBEsol)

Data for an optimized crystal structure of Re4SbW.

a = 7.3170 Å, b = 7.3170 Å, c = 7.3170 Å
α = 90.00°, β = 90.00°, γ = 90.00°
Space group F-43m (No. 216)
Symmetry-distinct sites (fractional):
Re 0.1252 0.1252 0.1252
Sb 0.0000 0.0000 0.5000
W 0.2500 0.2500 0.7500

Computed properties:
E_form (uncorrected) = 0.67 eV/atom

---

Entry 21:
## BiSeClO3 (GGA-PBEsol)

Data for an optimized crystal structure of BiSeClO3.

a = 12.3097 Å, b = 5.3360 Å, c = 6.6055 Å
α = 90.00°, β = 90.00°, γ = 90.00°
Space group Pnma (No. 62)
Symmetry-distinct sites (fractional):
Bi 0.0462 0.2500 0.2047
Se 0.2036 0.7500 0.0050
Cl 0.0637 0.7500 0.3939
O 0.1101 0.5111 0.9530
O 0.2292 0.2500 0.2799

Computed properties:
E_form (uncorrected) = -1.02 eV/atom

---

Number 1: energy -6.54 eV per atom. Number 2: energy -5.81 eV per atom. Number 3: energy -3.71 eV per atom. Number 4: energy -2.73 eV per atom. Number 5: energy -7.11 eV per atom. Number 6: energy -1.75 eV per atom. Number 7: energy -7.04 eV per atom. Number 8: energy -6.02 eV per atom. Number 9: energy -3.25 eV per atom. Number 10: energy -2.05 eV per atom. Number 11: energy -1.50 eV per atom. Number 12: energy -3.38 eV per atom. Number 13: energy -4.65 eV per atom. Number 14: energy -6.83 eV per atom. Number 15: energy -8.73 eV per atom. Number 16: energy -12.64 eV per atom. Number 17: energy -4.37 eV per atom. Number 18: energy -7.78 eV per atom. Number 19: energy -5.76 eV per atom. Number 20: energy -11.28 eV per atom. Number 21: energy -5.34 eV per atom.